# Cr2IrRu

A crystal of Cr2IrRu relaxed with PBEsol (SCAN, Alexandria).

Cell and atoms, written as POSCAR:
```
Cr2IrRu
1.0
-0.3618 2.5837 0.3182
-4.3440 -0.7139 0.8567
2.2257 -0.1674 3.8900
Ir Cr Ru
1 2 1
direct
0.5000 0.0000 0.0000 Ir
0.0000 0.0000 0.5000 Cr
0.0000 0.5000 0.0000 Cr
0.5000 0.5000 0.5000 Ru
```

Values from the calculation:
M_tot = 0.0 μB per formula unit
Density = 13.12 g cm⁻³
Final energy = -143.0 eV/f.u.

# CrIr2Ru

A crystal of CrIr2Ru relaxed with PBEsol (SCAN, Alexandria).

Cell and atoms, written as POSCAR:
```
CrIr2Ru
1.0
2.6758 0.0000 0.0000
0.0000 4.2320 0.0000
0.0000 0.0000 4.6478
Cr Ru Ir
1 1 2
direct
0.5000 0.5000 0.2158 Cr
0.5000 0.0000 0.5361 Ru
0.0000 0.0000 0.0465 Ir
0.0000 0.5000 0.7015 Ir
```

Values from the calculation:
Excess energy over the best structure of this formula in the dataset = 0 meV/atom
M_tot = 0.1 μB per formula unit
Density = 16.96 g cm⁻³

# CrIrRu2

A crystal of CrIrRu2 relaxed with PBEsol (SCAN, Alexandria).

Cell and atoms, written as POSCAR:
```
CrIrRu2
1.0
3.7297 0.0000 0.0000
0.0000 3.7297 0.0000
0.0000 0.0000 3.7528
Ir Ru Cr
1 2 1
direct
0.0000 0.0000 0.5000 Ir
0.0000 0.5000 0.0000 Ru
0.5000 0.0000 0.0000 Ru
0.5000 0.5000 0.5000 Cr
```

Values from the calculation:
Excess energy over the best structure of this formula in the dataset = 0 meV/atom
M_tot = 0.8 μB per formula unit
Density = 14.20 g cm⁻³

# Cr4IrRu

A crystal of Cr4IrRu relaxed with PBEsol (SCAN, Alexandria).

Cell and atoms, written as POSCAR:
```
Cr4IrRu
1.0
-1.4743 4.4121 0.2151
-1.1640 1.8686 4.1036
2.7048 3.2678 1.9215
Ru Cr Ir
1 4 1
direct
0.0000 0.0000 0.0000 Ru
0.3748 0.3748 0.3748 Cr
0.3748 0.3748 0.8757 Cr
0.3748 0.8757 0.3748 Cr
0.8757 0.3748 0.3748 Cr
0.7500 0.7500 0.7500 Ir
```

Values from the calculation:
M_tot = 0.0 μB per formula unit
Density = 11.66 g cm⁻³
Final energy = -180.0 eV/f.u.

# CrIr2Ru

A crystal of CrIr2Ru relaxed with PBEsol (SCAN, Alexandria).

Cell and atoms, written as POSCAR:
```
CrIr2Ru
1.0
-1.3826 -1.3069 1.8595
1.8080 -1.9513 -0.0271
3.8578 3.5006 5.3287
Cr Ir Ru
1 2 1
direct
0.5000 0.5000 0.5000 Cr
0.0000 0.0000 0.7406 Ir
0.0000 0.0000 0.2594 Ir
0.5000 0.5000 0.0000 Ru
```

Values from the calculation:
Excess energy over the best structure of this formula in the dataset = 85 meV/atom
M_tot = 1.0 μB per formula unit
Density = 16.92 g cm⁻³

# Cr2IrRu

A crystal of Cr2IrRu relaxed with PBEsol (SCAN, Alexandria).

Cell and atoms, written as POSCAR:
```
Cr2IrRu
1.0
-1.6253 1.9562 -0.7389
0.5595 -0.9581 -3.7671
-2.9256 -4.0031 0.5836
Ru Ir Cr
1 1 2
direct
0.7936 0.5000 0.5871 Ru
0.4531 0.0000 0.9061 Ir
0.1866 0.0000 0.3732 Cr
0.0608 0.5000 0.1217 Cr
```

Values from the calculation:
M_tot = 0.1 μB per formula unit
Density = 13.18 g cm⁻³
Final energy = -143.0 eV/f.u.

# Cr2IrRu

A crystal of Cr2IrRu relaxed with PBEsol (SCAN, Alexandria).

Cell and atoms, written as POSCAR:
```
Cr2IrRu
1.0
-1.5833 -2.0222 0.5733
2.0115 -0.7469 2.9201
-3.0280 3.1935 2.9026
Cr Ru Ir
2 1 1
direct
0.9999 0.0000 0.2552 Cr
0.0001 0.0000 0.7448 Cr
0.5000 0.5000 0.5000 Ru
0.5000 0.5000 0.0000 Ir
```

Values from the calculation:
M_tot = 0.0 μB per formula unit
Density = 13.12 g cm⁻³
Final energy = -143.0 eV/f.u.

# CrIr3Ru

A crystal of CrIr3Ru relaxed with PBEsol (SCAN, Alexandria).

Cell and atoms, written as POSCAR:
```
CrIr3Ru
1.0
4.6086 0.0000 0.0000
0.0000 4.6086 0.0000
0.0000 0.0000 4.6086
Ir Ru Cr
3 1 1
direct
0.0000 0.5000 0.0000 Ir
0.0000 0.0000 0.5000 Ir
0.5000 0.0000 0.0000 Ir
0.0000 0.0000 0.0000 Ru
0.5000 0.5000 0.5000 Cr
```

Values from the calculation:
M_tot = 4.5 μB per formula unit
Density = 12.38 g cm⁻³
Final energy = -257.4 eV/f.u.

> Which of these has the highest M_tot?

CrIr3Ru